# BeTlW3

Crystalline BeTlW3 at its relaxed geometry (PBE, the Alexandria database).

a = 4.9466 Å, b = 4.9466 Å, c = 4.9466 Å
α = 90.00°, β = 90.00°, γ = 90.00°
Element x y z (fractional)
Be 0.0000 0.0000 0.0000
Tl 0.5000 0.5000 0.5000
W 0.0000 0.5000 0.5000
W 0.5000 0.0000 0.5000
W 0.5000 0.5000 0.0000

Calculated values
The value obtained for the distance to the lowest polymorph of the same formula is 2486 meV per atom. Its space-group type is No. 221. As for the formation energy: 3.572 eV per atom. Its total DFT energy (no corrections) is -5.418 eV/atom.